# CuHgSeCl, single point on PBEsol structure, DFT SCAN
data_CuHgSeCl
_chemical_formula_sum 'Cu4 Hg4 Se4 Cl4'
_space_group_name_H-M_alt 'P b a m'
_space_group_IT_number 55
_space_group_name_Hall '-P 2 2ab'
_cell_length_a 7.1267
_cell_length_b 12.5679
_cell_length_c 4.1459
_cell_angle_alpha 90.00
_cell_angle_beta 90.00
_cell_angle_gamma 90.00
loop_
_atom_site_label
_atom_site_fract_x
_atom_site_fract_y
_atom_site_fract_z
_atom_site_occupancy
Cu1 0.1847 0.0229 0.0000 1
Hg1 0.0887 0.7468 0.5000 1
Se1 0.1558 0.1069 0.5000 1
Cl1 0.1686 0.3685 0.0000 1
# - Formation energy from raw total energies: -38.2 kJ per mole of atoms
# - Crystal system: orthorhombic
# - Uncorrected energy: -452.0 eV per cell



# CuI2Cl, single point on PBEsol structure, DFT SCAN
data_CuI2Cl
_chemical_formula_sum 'Cu4 I8 Cl4'
_space_group_name_H-M_alt 'F m -3 m'
_space_group_IT_number 225
_space_group_name_Hall '-F 4 2 3'
_cell_length_a 7.1579
_cell_length_b 7.1579
_cell_length_c 7.1579
_cell_angle_alpha 90.00
_cell_angle_beta 90.00
_cell_angle_gamma 90.00
loop_
_atom_site_label
_atom_site_fract_x
_atom_site_fract_y
_atom_site_fract_z
_atom_site_occupancy
Cu1 0.0000 0.0000 0.0000 1
I1 0.2500 0.2500 0.2500 1
Cl1 0.0000 0.0000 0.5000 1
# - Formation energy from raw total energies: 54.7 kJ per mole of atoms
# - Crystal system: cubic
# - Uncorrected energy: -377.6 eV per cell



# KCuICl2, single point on PBEsol structure, DFT SCAN
data_KCuICl2
_chemical_formula_sum 'K1 Cu1 I1 Cl2'
_space_group_name_H-M_alt 'P 4/m m m'
_space_group_IT_number 123
_space_group_name_Hall '-P 4 2'
_cell_length_a 5.4078
_cell_length_b 5.4078
_cell_length_c 5.6843
_cell_angle_alpha 90.00
_cell_angle_beta 90.00
_cell_angle_gamma 90.00
loop_
_atom_site_label
_atom_site_fract_x
_atom_site_fract_y
_atom_site_fract_z
_atom_site_occupancy
K1 0.0000 0.0000 0.0000 1
Cu1 0.0000 0.0000 0.5000 1
I1 0.5000 0.5000 0.5000 1
Cl1 0.0000 0.5000 0.0000 1
# - Formation energy from raw total energies: 13.3 kJ per mole of atoms
# - Crystal system: tetragonal
# - Uncorrected energy: -75.5 eV per cell



# CuP2ICl, single point on PBEsol structure, DFT SCAN
data_CuP2ICl
_chemical_formula_sum 'Cu1 P2 I1 Cl1'
_space_group_name_H-M_alt 'P 4/m m m'
_space_group_IT_number 123
_space_group_name_Hall '-P 4 2'
_cell_length_a 4.6304
_cell_length_b 4.6304
_cell_length_c 4.4983
_cell_angle_alpha 90.00
_cell_angle_beta 90.00
_cell_angle_gamma 90.00
loop_
_atom_site_label
_atom_site_fract_x
_atom_site_fract_y
_atom_site_fract_z
_atom_site_occupancy
Cu1 0.0000 0.0000 0.0000 1
P1 0.0000 0.5000 0.0000 1
I1 0.5000 0.5000 0.5000 1
Cl1 0.0000 0.0000 0.5000 1
# - Formation energy from raw total energies: 61.1 kJ per mole of atoms
# - Crystal system: tetragonal
# - Uncorrected energy: -77.6 eV per cell